1.
Li2CuSb | PBE | relaxed

```
Li2CuSb
1.0
1.665 0.961 7.812
-1.665 0.961 7.812
0.000 -1.922 7.812
Li Cu Sb
2 1 1
Cartesian
0.000 0.000 5.686 Li
0.000 0.000 17.751 Li
0.000 0.000 11.718 Cu
0.000 0.000 0.000 Sb
```

Computed properties:
Crystal system: trigonal
DFT total energy (eV for the cell shown): -11.996
SG: R-3m, No. 166
Density of states at the Fermi level (states/eV/f.u.): 2.125

---

2.
Li2Cu2Sb | PBE | relaxed

```
Li2Cu2Sb
1.0
6.846 0.000 0.000
0.000 6.846 0.000
0.000 0.000 3.391
Li Cu Sb
4 4 2
Cartesian
1.143 2.280 0.000 Li
2.280 5.703 0.000 Li
4.566 1.143 0.000 Li
5.703 4.566 0.000 Li
0.865 4.288 1.696 Cu
2.558 0.865 1.696 Cu
4.288 5.982 1.696 Cu
5.982 2.558 1.696 Cu
0.000 0.000 1.696 Sb
3.423 3.423 1.696 Sb
```

Computed properties:
ΔE to the lowest computed polymorph (meV per atom): 0.0
Crystal system: tetragonal
SG: P4/mbm, No. 127
Density of states at the Fermi level (states/eV/f.u.): 2.073

---

3.
LiCuSb | PBE | relaxed

```
LiCuSb
1.0
4.433 0.000 0.000
-2.216 3.839 0.000
0.000 0.000 3.345
Li Cu Sb
1 1 1
Cartesian
0.000 0.000 0.000 Li
2.216 1.280 1.673 Cu
0.000 2.559 1.673 Sb
```

Computed properties:
Crystal system: hexagonal
DFT total energy (eV for the cell shown): -10.893
SG: P-6m2, No. 187
Density of states at the Fermi level (states/eV/f.u.): 0.725

---

Look up the density of states at the Fermi level of the second one.
2.073 states/eV/f.u.